A relaxed CeZnRuPt crystal, computed with PBE-GGA.

The total energy comes out at -6.08 eV/atom. For the magnetic moment, the calculation gives 0.00 μB per formula unit. The energy relative to the elements is -0.45 eV/atom.

Cell: 4.664 4.664 4.664 Å, 60.00 60.00 60.00°
Sites, in units of the cell vectors:
Ce: 0.000 0.000 0.000
Zn: 0.500 0.500 0.500
Ru: 0.750 0.750 0.750
Pt: 0.250 0.250 0.250